Record 1
The following is a DFT calculation (PBE-GGA) of a geometry-optimized ScTa2Ag structure.

Geometry as extended XYZ:
```
4
Lattice="-2.441 -1.541 0.593 1.609 -0.945 4.164 -2.488 4.722 2.033" Properties=species:S:1:pos:R:3 pbc="T T T"
Ag -1.038 -0.062 2.887
Sc -2.282 2.299 3.903
Ta -2.468 4.684 2.016
Ta -1.264 2.399 1.033
```

ΔE to the lowest computed polymorph in eV/atom: 0.2231
Energy of formation from the pure elements in eV/atom: 0.32

---

Record 2
The following is a DFT calculation (PBE-GGA) of a geometry-optimized BaB2Pb2 structure.

Geometry as extended XYZ:
```
5
Lattice="-0.934 -1.110 -4.508 2.446 -4.026 0.485 -3.578 -5.021 -0.510" Properties=species:S:1:pos:R:3 pbc="T T T"
Pb -0.607 -3.339 -1.540
Pb -1.460 -6.818 -2.994
B -1.878 -4.350 -3.515
B -0.188 -5.808 -1.019
Ba 0.000 0.000 0.000
```

ΔE to the lowest computed polymorph in eV/atom: 0.0000
Energy of formation from the pure elements in eV/atom: 0.68

---

Question: energy of formation from the pure elements of number 2 (BaB2Pb2)?
Answer: 0.68 eV/atom

---

Question: Among the records above, which one has the lowest energy of formation from the pure elements?
Answer: ScTa2Ag